Version a
An optimized crystal structure of Hf4NiGe, computed with PBE.

POSCAR file:
```
Hf4NiGe
1.0
-4.222 4.222 3.838
4.222 -4.222 3.838
4.222 4.222 -3.838
Hf Ni Ge
8 2 2
Cartesian
4.222 1.620 -0.220 Hf
2.602 4.222 -2.139 Hf
1.620 0.000 1.699 Hf
0.000 2.424 0.000 Hf
0.000 6.021 0.000 Hf
2.424 4.222 1.919 Hf
1.799 0.000 5.757 Hf
0.000 2.602 3.618 Hf
0.000 4.222 1.736 Ni
0.000 0.000 7.492 Ni
4.222 0.000 1.896 Ge
0.000 0.000 3.815 Ge
```

- total magnetic moment (Bohr magnetons per cell) = 0.000

=====

Version b
An optimized crystal structure of Hf4NiGe, computed with PBE.

POSCAR file:
```
Hf4NiGe
1.0
-3.262 3.262 2.652
3.262 -3.262 2.652
3.262 3.262 -2.652
Hf Ni Ge
4 1 1
Cartesian
2.226 -1.036 1.326 Hf
4.297 1.036 1.326 Hf
1.036 2.226 1.326 Hf
-1.036 4.297 1.326 Hf
0.000 0.000 0.000 Ni
0.000 0.000 2.652 Ge
```

- total magnetic moment (Bohr magnetons per cell) = 0.000

=====

version b takes first place; second place is 0.570 eV/atom up.

=====

Version a
An optimized crystal structure of HfNi6Ge, computed with PBE.

POSCAR file:
```
HfNi6Ge
1.0
2.432 1.404 6.058
-2.432 1.404 6.058
0.000 -2.808 6.058
Hf Ni Ge
1 6 1
Cartesian
0.000 0.000 0.000 Hf
-1.246 -0.719 7.261 Ni
0.000 -1.439 10.914 Ni
-1.246 0.719 10.914 Ni
1.246 -0.719 7.261 Ni
0.000 1.439 7.261 Ni
1.246 0.719 10.914 Ni
0.000 0.000 9.087 Ge
```

- total magnetic moment (Bohr magnetons per cell) = 0.000

=====

Version b
An optimized crystal structure of HfNi6Ge, computed with PBE.

POSCAR file:
```
HfNi6Ge
1.0
3.639 -5.186 0.000
3.639 5.186 0.000
0.000 0.000 10.347
Hf Ni Ge
4 24 4
Cartesian
0.000 0.000 2.573 Hf
0.000 0.000 7.774 Hf
3.639 2.661 5.174 Hf
3.639 -2.661 5.174 Hf
0.000 0.000 0.000 Ni
0.000 0.000 5.174 Ni
1.869 1.302 1.252 Ni
1.869 1.302 9.096 Ni
1.874 1.281 3.835 Ni
1.874 1.281 6.512 Ni
3.639 2.582 2.516 Ni
3.639 2.582 7.831 Ni
1.874 -1.281 3.835 Ni
1.874 -1.281 6.512 Ni
1.869 -1.302 1.252 Ni
1.869 -1.302 9.096 Ni
3.639 0.000 0.000 Ni
3.639 0.000 5.174 Ni
5.409 1.302 1.252 Ni
5.409 1.302 9.096 Ni
5.404 1.281 3.835 Ni
5.404 1.281 6.512 Ni
3.639 -2.582 2.516 Ni
3.639 -2.582 7.831 Ni
5.404 -1.281 3.835 Ni
5.404 -1.281 6.512 Ni
5.409 -1.302 1.252 Ni
5.409 -1.302 9.096 Ni
3.639 2.687 0.000 Ge
3.639 0.000 2.553 Ge
3.639 0.000 7.794 Ge
3.639 -2.687 0.000 Ge
```

- total magnetic moment (Bohr magnetons per cell) = 0.000

=====

version b takes first place; second place is 0.460 eV/atom up.

=====

Version a
An optimized crystal structure of HfNi3Ge, computed with PBE.

POSCAR file:
```
HfNi3Ge
1.0
4.602 0.000 0.000
0.000 4.602 0.000
0.000 0.000 4.602
Hf Ni Ge
1 3 1
Cartesian
0.000 0.000 0.000 Hf
0.000 0.000 2.301 Ni
0.000 2.301 0.000 Ni
2.301 0.000 0.000 Ni
2.301 2.301 2.301 Ge
```

- total magnetic moment (Bohr magnetons per cell) = 0.000

=====

Version b
An optimized crystal structure of HfNi3Ge, computed with PBE.

POSCAR file:
```
HfNi3Ge
1.0
-2.317 2.317 7.846
2.317 -2.317 7.846
2.317 2.317 -7.846
Hf Ni Ge
2 6 2
Cartesian
0.000 0.000 1.937 Hf
0.000 0.000 13.756 Hf
1.183 2.317 -1.974 Ni
1.134 0.000 5.872 Ni
2.317 1.183 1.974 Ni
0.000 2.317 0.553 Ni
0.000 1.134 9.821 Ni
0.000 2.317 7.294 Ni
2.317 0.000 3.923 Ge
0.000 0.000 7.846 Ge
```

- total magnetic moment (Bohr magnetons per cell) = 0.000

=====

Version c
An optimized crystal structure of HfNi3Ge, computed with PBE.

POSCAR file:
```
HfNi3Ge
1.0
4.292 0.000 0.000
0.000 4.292 0.000
0.000 0.000 4.292
Hf Ni Ge
1 3 1
Cartesian
0.000 0.000 0.000 Hf
0.000 2.146 2.146 Ni
2.146 0.000 2.146 Ni
2.146 2.146 0.000 Ni
2.146 2.146 2.146 Ge
```

- total magnetic moment (Bohr magnetons per cell) = 0.000

=====

version b takes first place; second place is 0.186 eV/atom up.

=====

Version a
An optimized crystal structure of HfNi4Ge, computed with PBE.

POSCAR file:
```
HfNi4Ge
1.0
0.000 3.392 3.392
3.392 0.000 3.392
3.392 3.392 0.000
Hf Ni Ge
1 4 1
Cartesian
0.000 0.000 0.000 Hf
4.241 2.543 2.543 Ni
2.543 4.241 2.543 Ni
2.543 2.543 4.241 Ni
4.241 4.241 4.241 Ni
1.696 1.696 1.696 Ge
```

- total magnetic moment (Bohr magnetons per cell) = 0.000

=====

Version b
An optimized crystal structure of HfNi4Ge, computed with PBE.

POSCAR file:
```
HfNi4Ge
1.0
-2.142 7.766 2.394
2.142 -7.766 2.394
2.142 7.766 -2.394
Hf Ni Ge
2 8 2
Cartesian
0.000 3.883 0.093 Hf
2.142 3.883 2.301 Hf
2.142 2.426 -0.366 Ni
0.000 1.265 0.376 Ni
2.142 5.340 -0.366 Ni
0.000 6.502 0.376 Ni
2.142 1.265 2.018 Ni
0.000 2.426 2.760 Ni
2.142 6.502 2.018 Ni
0.000 5.340 2.760 Ni
2.142 0.000 0.000 Ge
0.000 0.000 2.394 Ge
```

- total magnetic moment (Bohr magnetons per cell) = 0.000

=====

version a takes first place; second place is 0.046 eV/atom up.

=====

Version a
An optimized crystal structure of HfGe3O, computed with PBE.

POSCAR file:
```
HfGe3O
1.0
5.176 0.000 0.000
0.000 5.176 0.000
0.000 0.000 5.176
Hf Ge O
1 3 1
Cartesian
0.000 0.000 0.000 Hf
0.000 0.000 2.588 Ge
0.000 2.588 0.000 Ge
2.588 0.000 0.000 Ge
2.588 2.588 2.588 O
```

- total magnetic moment (Bohr magnetons per cell) = 1.979

=====

Version b
An optimized crystal structure of HfGe3O, computed with PBE.

POSCAR file:
```
HfGe3O
1.0
4.345 0.000 0.000
0.000 4.345 0.000
0.000 0.000 4.345
Hf Ge O
1 3 1
Cartesian
0.000 0.000 0.000 Hf
0.000 2.173 2.173 Ge
2.173 0.000 2.173 Ge
2.173 2.173 0.000 Ge
2.173 2.173 2.173 O
```

- total magnetic moment (Bohr magnetons per cell) = 0.000

=====

version b takes first place; second place is 1.132 eV/atom up.

=====

Version a
An optimized crystal structure of HfGePO2, computed with PBE.

POSCAR file:
```
HfGePO2
1.0
3.756 0.000 0.000
0.000 3.756 0.000
0.000 0.000 4.941
Hf Ge P O
1 1 1 2
Cartesian
0.000 0.000 0.000 Hf
1.878 1.878 2.470 Ge
1.878 1.878 0.000 P
0.000 1.878 2.470 O
1.878 0.000 2.470 O
```

- total magnetic moment (Bohr magnetons per cell) = 0.000

=====

Version b
An optimized crystal structure of HfGePO2, computed with PBE.

POSCAR file:
```
HfGePO2
1.0
3.988 0.000 0.000
0.000 3.988 0.000
0.000 0.000 5.473
Hf Ge P O
1 1 1 2
Cartesian
0.000 0.000 0.000 Hf
1.994 1.994 2.736 Ge
0.000 0.000 2.736 P
0.000 1.994 0.000 O
1.994 0.000 0.000 O
```

- total magnetic moment (Bohr magnetons per cell) = 0.000

=====

version b takes first place; second place is 0.626 eV/atom up.

=====

Version a
An optimized crystal structure of Hf2GeOs2, computed with PBE.

POSCAR file:
```
Hf2GeOs2
1.0
7.752 0.000 0.000
0.000 7.752 0.000
0.000 0.000 3.124
Hf Ge Os
4 2 4
Cartesian
1.161 2.715 0.000 Hf
2.715 6.591 0.000 Hf
5.037 1.161 0.000 Hf
6.591 5.037 0.000 Hf
0.000 0.000 0.000 Ge
3.876 3.876 0.000 Ge
1.114 4.989 1.562 Os
2.762 1.114 1.562 Os
4.989 6.638 1.562 Os
6.638 2.762 1.562 Os
```

- total magnetic moment (Bohr magnetons per cell) = 0.000

=====

Version b
An optimized crystal structure of Hf2GeOs2, computed with PBE.

POSCAR file:
```
Hf2GeOs2
1.0
-1.771 1.771 7.744
1.771 -1.771 7.744
1.771 1.771 -7.744
Hf Ge Os
2 1 2
Cartesian
0.000 0.000 1.631 Hf
0.000 0.000 13.857 Hf
0.000 0.000 7.744 Ge
1.771 0.000 3.872 Os
0.000 1.771 3.872 Os
```

- total magnetic moment (Bohr magnetons per cell) = 0.000

=====

Version c
An optimized crystal structure of Hf2GeOs2, computed with PBE.

POSCAR file:
```
Hf2GeOs2
1.0
7.516 0.000 0.000
0.000 7.516 0.000
0.000 0.000 3.225
Hf Ge Os
4 2 4
Cartesian
1.220 2.539 0.000 Hf
2.539 6.297 0.000 Hf
4.978 1.220 0.000 Hf
6.297 4.978 0.000 Hf
0.000 0.000 1.612 Ge
3.758 3.758 1.612 Ge
1.025 4.783 1.612 Os
2.733 1.025 1.612 Os
4.783 6.491 1.612 Os
6.491 2.733 1.612 Os
```

- total magnetic moment (Bohr magnetons per cell) = 0.000

=====

version c takes first place; second place is 0.205 eV/atom up.

=====

Version a
An optimized crystal structure of Hf2Ge2P, computed with PBE.

POSCAR file:
```
Hf2Ge2P
1.0
6.972 0.000 0.000
0.000 6.972 0.000
0.000 0.000 3.926
Hf Ge P
4 4 2
Cartesian
1.245 2.241 0.000 Hf
2.241 5.727 0.000 Hf
4.731 1.245 0.000 Hf
5.727 4.731 0.000 Hf
0.877 4.363 1.963 Ge
2.609 0.877 1.963 Ge
4.363 6.095 1.963 Ge
6.095 2.609 1.963 Ge
0.000 0.000 0.000 P
3.486 3.486 0.000 P
```

- total magnetic moment (Bohr magnetons per cell) = 0.000

=====

Version b
An optimized crystal structure of Hf2Ge2P, computed with PBE.

POSCAR file:
```
Hf2Ge2P
1.0
-2.585 2.585 3.810
2.585 -2.585 3.810
2.585 2.585 -3.810
Hf Ge P
2 2 1
Cartesian
2.585 0.000 1.905 Hf
0.000 2.585 1.905 Hf
0.000 0.000 1.263 Ge
0.000 0.000 6.356 Ge
0.000 0.000 3.810 P
```

- total magnetic moment (Bohr magnetons per cell) = 0.000

=====

version a takes first place; second place is 0.535 eV/atom up.

=====

Version a
An optimized crystal structure of HfGeP2, computed with PBE.

POSCAR file:
```
HfGeP2
1.0
-2.912 2.912 5.768
2.912 -2.912 5.768
2.912 2.912 -5.768
Hf Ge P
2 2 4
Cartesian
0.000 0.000 0.000 Hf
0.000 2.912 2.884 Hf
2.912 0.000 2.884 Ge
0.000 0.000 5.768 Ge
1.456 -1.449 4.326 P
1.464 1.456 1.442 P
1.456 4.361 -1.442 P
1.449 1.456 7.210 P
```

- total magnetic moment (Bohr magnetons per cell) = 0.000

=====

Version b
An optimized crystal structure of HfGeP2, computed with PBE.

POSCAR file:
```
HfGeP2
1.0
0.000 3.257 3.257
3.257 0.000 3.257
3.257 3.257 0.000
Hf Ge P
1 1 2
Cartesian
0.000 0.000 0.000 Hf
3.257 3.257 3.257 Ge
1.628 1.628 1.628 P
4.885 4.885 4.885 P
```

- total magnetic moment (Bohr magnetons per cell) = 0.000

=====

version a takes first place; second place is 0.138 eV/atom up.

=====

Version a
An optimized crystal structure of Hf3GeP, computed with PBE.

POSCAR file:
```
Hf3GeP
1.0
4.783 0.000 0.000
0.000 4.783 0.000
0.000 0.000 4.783
Hf Ge P
3 1 1
Cartesian
0.000 0.000 2.392 Hf
0.000 2.392 0.000 Hf
2.392 0.000 0.000 Hf
2.392 2.392 2.392 Ge
0.000 0.000 0.000 P
```

- total magnetic moment (Bohr magnetons per cell) = 0.000

=====

Version b
An optimized crystal structure of Hf3GeP, computed with PBE.

POSCAR file:
```
Hf3GeP
1.0
1.858 -5.580 0.000
1.858 5.580 0.000
0.000 0.000 9.350
Hf Ge P
6 2 2
Cartesian
1.858 4.851 7.012 Hf
1.858 1.600 5.289 Hf
1.858 1.600 8.735 Hf
1.858 -1.600 0.614 Hf
1.858 -1.600 4.061 Hf
1.858 -4.851 2.337 Hf
1.858 2.736 2.337 Ge
1.858 -2.736 7.012 Ge
0.000 0.000 0.000 P
0.000 0.000 4.675 P
```

- total magnetic moment (Bohr magnetons per cell) = 0.000

=====

version b takes first place; second place is 0.756 eV/atom up.

=====

Version a
An optimized crystal structure of HfPaGe, computed with PBE.

POSCAR file:
```
HfPaGe
1.0
4.145 0.000 0.000
0.000 4.145 0.000
0.000 0.000 7.855
Hf Pa Ge
2 2 2
Cartesian
1.036 3.109 0.000 Hf
3.109 1.036 0.000 Hf
1.036 1.036 2.791 Pa
3.109 3.109 5.064 Pa
1.036 1.036 5.824 Ge
3.109 3.109 2.031 Ge
```

- total magnetic moment (Bohr magnetons per cell) = 0.039

=====

Version b
An optimized crystal structure of HfPaGe, computed with PBE.

POSCAR file:
```
HfPaGe
1.0
4.833 0.000 0.000
-2.416 4.185 0.000
0.000 0.000 3.290
Hf Pa Ge
1 1 1
Cartesian
0.000 0.000 0.000 Hf
2.416 1.395 1.645 Pa
0.000 2.790 0.000 Ge
```

- total magnetic moment (Bohr magnetons per cell) = 0.002

=====

version a takes first place; second place is 0.281 eV/atom up.